[1]
Entry from the Alexandria database: a geometry-optimized Pa2AlAu6 structure (PBE).

Summary:
Calculated formation energy = -0.345 eV per atom
Total DFT energy (no corrections) = -45.5 eV per formula unit
Calculated volume = 20.66 A^3/atom
Symmetry = No. 164

```
data_Pa2AlAu6
_chemical_formula_sum 'Pa2 Al1 Au6'
_symmetry_space_group_name_H-M 'P 1'
_symmetry_Int_Tables_number 1
_symmetry_space_group_name_Hall 'P 1'
_cell_length_a 5.4209
_cell_length_b 6.2931
_cell_length_c 6.2931
_cell_angle_alpha 120.00
_cell_angle_beta 90.00
_cell_angle_gamma 90.00
loop_
_atom_site_label
_atom_site_fract_x
_atom_site_fract_y
_atom_site_fract_z
Pa1 0.3310 0.6667 0.3333
Pa2 0.6690 0.3333 0.6667
Al1 0.5000 0.0000 0.0000
Au1 0.8071 0.8180 0.6361
Au2 0.8071 0.8180 0.1820
Au3 0.1929 0.6361 0.8180
Au4 0.8071 0.3639 0.1820
Au5 0.1929 0.1820 0.8180
Au6 0.1929 0.1820 0.3639
```

=====

[2]
Entry from the Alexandria database: a geometry-optimized HfBW3 structure (PBE).

Summary:
Calculated formation energy = 0.129 eV per atom
Total DFT energy (no corrections) = -54.8 eV per formula unit
Calculated volume = 15.82 A^3/atom
ΔE to the lowest computed polymorph = 0 meV per atom
Symmetry = No. 221

```
data_HfBW3
_chemical_formula_sum 'Hf1 B1 W3'
_symmetry_space_group_name_H-M 'P 1'
_symmetry_Int_Tables_number 1
_symmetry_space_group_name_Hall 'P 1'
_cell_length_a 4.2930
_cell_length_b 4.2930
_cell_length_c 4.2930
_cell_angle_alpha 90.00
_cell_angle_beta 90.00
_cell_angle_gamma 90.00
loop_
_atom_site_label
_atom_site_fract_x
_atom_site_fract_y
_atom_site_fract_z
B1 0.0000 0.0000 0.0000
Hf1 0.5000 0.5000 0.5000
W1 0.0000 0.5000 0.0000
W2 0.0000 0.0000 0.5000
W3 0.5000 0.0000 0.0000
```